Entry 1:
The following is a GGA-PBE calculation of crystalline Zr3TiBi4 at its relaxed geometry, from the Alexandria database.

It has space group Pmmn (No. 59, origin choice 2), with a = 5.532 Å, b = 11.052 Å, c = 6.620 Å, α = 90.00°, β = 90.00° and γ = 90.00°. Symmetry generates all atoms from Zr at (0.250, 0.001, 0.138), Zr at (0.250, 0.750, 0.859), Ti at (0.250, 0.250, 0.869), Bi at (0.250, 0.007, 0.674), Bi at (0.250, 0.250, 0.320) and Bi at (0.250, 0.750, 0.323).

Its formation energy is -2.10 eV per formula unit. For the density, the calculation gives 9.497 g/cm³.

***

Entry 2:
The following is a GGA-PBE calculation of crystalline CoP2RuCl at its relaxed geometry, from the Alexandria database.

It has space group P4/mmm (No. 123), with a = 4.475 Å, b = 4.475 Å, c = 4.989 Å, α = 90.00°, β = 90.00° and γ = 90.00°. Symmetry generates all atoms from Co at (0.000, 0.000, 0.000), P at (0.000, 0.500, 0.500), Ru at (0.500, 0.500, 0.500) and Cl at (0.500, 0.500, 0.000).

For the density, the calculation gives 4.279 g/cm³. The uncorrected formation energy is 0.96 eV/atom. The distance to the lowest polymorph of the same formula comes out at 136.4 meV per atom.

***

Entry 3:
The following is a GGA-PBE calculation of crystalline HfTe2Pd at its relaxed geometry, from the Alexandria database.

It has space group R-3m (No. 166, hexagonal axes), with a = 3.6087 Å, b = 3.6087 Å, c = 27.4997 Å, α = 90.00°, β = 90.00° and γ = 120.00°. Symmetry generates all atoms from Hf at (0.0000, 0.0000, 0.0000), Te at (0.0000, 0.0000, 0.1024) and Pd at (0.0000, 0.0000, 0.5000).

For the density, the calculation gives 8.676 g/cm³. The uncorrected formation energy is 0.12 eV/atom. The distance to the lowest polymorph of the same formula comes out at 860.1 meV per atom.

***

Entry 4:
The following is a GGA-PBE calculation of crystalline K2NaSbI6 at its relaxed geometry, from the Alexandria database.

It has space group R3 (No. 146, hexagonal axes), with a = 8.5513 Å, b = 8.5513 Å, c = 21.3462 Å, α = 90.00°, β = 90.00° and γ = 120.00°. Symmetry generates all atoms from K at (0.0000, 0.0000, 0.0000), K at (0.0000, 0.0000, 0.4907), Na at (0.0000, 0.0000, 0.2110), Sb at (0.0000, 0.0000, 0.7044), I at (0.0089, 0.4083, 0.4510) and I at (0.0741, 0.7168, 0.2856).

For the density, the calculation gives 3.628 g/cm³. The uncorrected formation energy is -0.96 eV/atom.

***

Entry 5:
The following is a GGA-PBE calculation of crystalline TlCrPb at its relaxed geometry, from the Alexandria database.

It has space group I4mm (No. 107), with a = 3.519 Å, b = 3.519 Å, c = 12.173 Å, α = 90.00°, β = 90.00° and γ = 90.00°. Symmetry generates all atoms from Tl at (0.000, 0.000, 0.000), Cr at (0.000, 0.000, 0.354) and Pb at (0.000, 0.000, 0.705).

Its formation energy is 1.44 eV per formula unit. For the density, the calculation gives 10.210 g/cm³. The distance to the lowest polymorph of the same formula comes out at 8.2 meV per atom.

***

Entry 6:
The following is a GGA-PBE calculation of crystalline VTcPAu2 at its relaxed geometry, from the Alexandria database.

It has space group P4/mmm (No. 123), with a = 4.915 Å, b = 4.915 Å, c = 4.386 Å, α = 90.00°, β = 90.00° and γ = 90.00°. Symmetry generates all atoms from V at (0.000, 0.000, 0.000), Tc at (0.500, 0.500, 0.500), P at (0.000, 0.000, 0.500) and Au at (0.000, 0.500, 0.000).

Its formation energy is 5.34 eV per formula unit. For the density, the calculation gives 8.992 g/cm³.

***

Q: What is the formula in the second record?
A: CoP2RuCl

***

Q: Number 5 is which compound?
A: TlCrPb

***

Copy entry 3 word for word.
The following is a GGA-PBE calculation of crystalline HfTe2Pd at its relaxed geometry, from the Alexandria database.

It has space group R-3m (No. 166, hexagonal axes), with a = 3.6087 Å, b = 3.6087 Å, c = 27.4997 Å, α = 90.00°, β = 90.00° and γ = 120.00°. Symmetry generates all atoms from Hf at (0.0000, 0.0000, 0.0000), Te at (0.0000, 0.0000, 0.1024) and Pd at (0.0000, 0.0000, 0.5000).

For the density, the calculation gives 8.676 g/cm³. The uncorrected formation energy is 0.12 eV/atom. The distance to the lowest polymorph of the same formula comes out at 860.1 meV per atom.